No. 1
Pm2Y2InGa4 | GGA-PBE | relaxed

Lattice parameters (Å, degrees): 6.8706 6.8706 6.8706 94.88 117.22 117.22
Closest atoms and distances in Å follow each position.
Sites, in units of the cell vectors:
Y  0.5000  0.7500  0.2500  8 Ga 3.44, 4 Pm 3.63
Y  0.5000  0.2500  0.7500  8 Ga 3.44, 4 Pm 3.63
Ga  0.0000  0.7415  0.2585  1 In 2.62
Ga  0.5171  0.2585  0.2585  1 In 2.62
Ga  0.4829  0.7415  0.7415  1 In 2.62
Ga  0.0000  0.2585  0.7415  1 In 2.62
In  0.0000  0.0000  0.0000  4 Ga 2.62, 2 Pm 2.91
Pm  0.0000  0.6867  0.6867  1 In 2.91, 4 Ga 3.00
Pm  0.0000  0.3133  0.3133  1 In 2.91, 4 Ga 3.00

Summary:
Calculated formation energy ... -0.16 eV/atom
Uncorrected energy ... -4.2978 eV/atom
DOS(E_F) ... 6.75 states/eV/f.u.

***

No. 2
PmZnInGa | GGA-PBE | relaxed

Lattice parameters (Å, degrees): 5.0064 5.0064 5.0064 60.00 60.00 60.00
Closest atoms and distances in Å follow each position.
Sites, in units of the cell vectors:
In  0.2500  0.2500  0.2500  4 Zn 3.07, 4 Ga 3.07
Pm  0.7500  0.7500  0.7500  4 Zn 3.07, 4 Ga 3.07
Zn  0.0000  0.0000  0.0000  4 Pm 3.07, 4 In 3.07
Ga  0.5000  0.5000  0.5000  4 In 3.07, 4 Pm 3.07

Summary:
Calculated formation energy ... -0.27 eV/atom
Uncorrected energy ... -3.2129 eV/atom
DOS(E_F) ... 3.14 states/eV/f.u.

***

No. 3
Pr12InGa6 | GGA-PBE | relaxed

Lattice parameters (Å, degrees): 9.1166 9.1166 9.1166 109.47 109.47 109.47
Closest atoms and distances in Å follow each position.
Sites, in units of the cell vectors:
Pr  0.4833  0.1897  0.2936  3 Ga 2.96-3.21
Pr  0.1897  0.2936  0.4833  3 Ga 2.96-3.21
Pr  0.2936  0.4833  0.1897  3 Ga 2.96-3.21
Pr  0.1897  0.7064  0.8960  3 Ga 2.96-3.21
Pr  0.7064  0.5167  0.8103  3 Ga 2.96-3.21
Pr  0.8103  0.7064  0.5167  3 Ga 2.96-3.21
Pr  0.7064  0.8960  0.1897  3 Ga 2.96-3.21
Pr  0.8103  0.2936  0.1040  3 Ga 2.96-3.21
Pr  0.8960  0.1897  0.7064  3 Ga 2.96-3.21
Pr  0.2936  0.1040  0.8103  3 Ga 2.96-3.21
Pr  0.5167  0.8103  0.7064  3 Ga 2.96-3.21
Pr  0.1040  0.8103  0.2936  3 Ga 2.96-3.21
Ga  0.1199  0.6199  0.5000  1 Ga 2.52
Ga  0.3801  0.5000  0.8801  1 Ga 2.52
Ga  0.5000  0.1199  0.6199  1 Ga 2.52
Ga  0.6199  0.5000  0.1199  1 Ga 2.52
Ga  0.5000  0.8801  0.3801  1 Ga 2.52
Ga  0.8801  0.3801  0.5000  1 Ga 2.52
In  0.0000  0.0000  0.0000  12 Pr 3.68

Summary:
Calculated formation energy ... -0.36 eV/atom
Uncorrected energy ... -4.4809 eV/atom
DOS(E_F) ... 19.04 states/eV/f.u.

***

No. 4
Pr5In2Ga | GGA-PBE | relaxed

Lattice parameters (Å, degrees): 5.2953 6.9221 13.4120 90.00 90.00 90.00
Closest atoms and distances in Å follow each position.
Sites, in units of the cell vectors:
Ga  0.0000  0.5000  0.5000  6 Pr 3.08-3.15
Ga  0.0000  0.0000  0.0000  6 Pr 3.08-3.15
Pr  0.0000  0.1263  0.7802  1 Ga 3.08, 2 In 3.28
Pr  0.0000  0.0000  0.5000  4 In 3.45, 2 Ga 3.46, 6 Pr 3.74-3.86
Pr  0.0000  0.6263  0.7198  1 Ga 3.08, 2 In 3.28
Pr  0.5000  0.3354  0.5938  2 Ga 3.15, 2 In 3.29-3.43, 1 Pr 3.40
Pr  0.0000  0.5000  0.0000  4 In 3.45, 2 Ga 3.46, 6 Pr 3.74-3.86
Pr  0.0000  0.8737  0.2198  1 Ga 3.08, 2 In 3.28
Pr  0.5000  0.8354  0.9062  2 Ga 3.15, 2 In 3.29-3.43, 1 Pr 3.40
Pr  0.5000  0.6646  0.4062  2 Ga 3.15, 2 In 3.29-3.43, 1 Pr 3.40
Pr  0.5000  0.1646  0.0938  2 Ga 3.15, 2 In 3.29-3.43, 1 Pr 3.40
Pr  0.0000  0.3737  0.2802  1 Ga 3.08, 2 In 3.28
In  0.5000  0.6266  0.1510  9 Pr 3.28-3.62
In  0.5000  0.1266  0.3490  9 Pr 3.28-3.62
In  0.5000  0.8734  0.6510  9 Pr 3.28-3.62
In  0.5000  0.3734  0.8490  9 Pr 3.28-3.62

Summary:
Calculated formation energy ... -0.40 eV/atom
Distance to the lowest polymorph of the same formula ... 0.0 meV per atom
Uncorrected energy ... -4.4539 eV/atom
DOS(E_F) ... 6.88 states/eV/f.u.

***

No. 5
Pr3InGa | GGA-PBE | relaxed

Lattice parameters (Å, degrees): 4.8355 5.6129 12.9880 90.00 90.00 115.52
Closest atoms and distances in Å follow each position.
Sites, in units of the cell vectors:
Ga  0.2529  0.5059  0.2500  7 Pr 3.05-3.27
Ga  0.7471  0.4941  0.7500  7 Pr 3.05-3.27
In  0.0000  0.0000  0.0000  8 Pr 3.22-3.52
In  0.0000  0.0000  0.5000  8 Pr 3.22-3.52
Pr  0.3261  0.6523  0.9075  3 In 3.22-3.52, 2 Ga 3.27, 1 Pr 3.48
Pr  0.9515  0.9031  0.2500  3 Ga 3.05-3.15, 2 In 3.28
Pr  0.6739  0.3477  0.0925  3 In 3.22-3.52, 2 Ga 3.27, 1 Pr 3.48
Pr  0.0485  0.0969  0.7500  3 Ga 3.05-3.15, 2 In 3.28
Pr  0.3261  0.6523  0.5925  3 In 3.22-3.52, 2 Ga 3.27, 1 Pr 3.48
Pr  0.6739  0.3477  0.4075  3 In 3.22-3.52, 2 Ga 3.27, 1 Pr 3.48

Summary:
Calculated formation energy ... -0.28 eV/atom
Distance to the lowest polymorph of the same formula ... 119.8 meV per atom
Uncorrected energy ... -4.3022 eV/atom
DOS(E_F) ... 5.38 states/eV/f.u.

***

No. 6
PrInGa2 | GGA-PBE | relaxed

Lattice parameters (Å, degrees): 4.4223 11.6466 14.5048 90.00 90.00 90.00
Closest atoms and distances in Å follow each position.
Sites, in units of the cell vectors:
Ga  0.2500  0.0543  0.3605  1 Ga 2.48
Ga  0.7500  0.9457  0.6395  1 Ga 2.48
Ga  0.7500  0.7141  0.3842  2 Ga 2.51-2.76, 1 In 2.79
Ga  0.2500  0.4797  0.5398  3 Ga 2.51-2.54
Ga  0.2500  0.2859  0.6158  2 Ga 2.51-2.76, 1 In 2.79
Ga  0.7500  0.9797  0.9602  3 Ga 2.51-2.54
Ga  0.7500  0.5203  0.4602  3 Ga 2.51-2.54
Ga  0.7500  0.7551  0.1969  2 Ga 2.48-2.76, 2 In 2.73
Ga  0.2500  0.2551  0.3031  2 Ga 2.48-2.76, 2 In 2.73
Ga  0.2500  0.2141  0.1158  2 Ga 2.51-2.76, 1 In 2.79
Ga  0.2500  0.2449  0.8031  2 Ga 2.48-2.76, 2 In 2.73
Ga  0.2500  0.0203  0.0398  3 Ga 2.51-2.54
Ga  0.7500  0.5543  0.1395  1 Ga 2.48
Ga  0.7500  0.7859  0.8842  2 Ga 2.51-2.76, 1 In 2.79
Ga  0.7500  0.7449  0.6969  2 Ga 2.48-2.76, 2 In 2.73
Ga  0.2500  0.4457  0.8605  1 Ga 2.48
Pr  0.2500  0.9658  0.8023  8 Ga 3.19-3.50, 3 In 3.44-3.52
Pr  0.7500  0.2540  0.4540  5 Ga 3.10-3.25
Pr  0.2500  0.5342  0.3023  8 Ga 3.19-3.50, 3 In 3.44-3.52
Pr  0.2500  0.7540  0.0460  5 Ga 3.10-3.25
Pr  0.7500  0.4658  0.6977  8 Ga 3.19-3.50, 3 In 3.44-3.52
Pr  0.7500  0.2460  0.9540  5 Ga 3.10-3.25
Pr  0.7500  0.0342  0.1977  8 Ga 3.19-3.50, 3 In 3.44-3.52
Pr  0.2500  0.7460  0.5460  5 Ga 3.10-3.25
In  0.2500  0.4435  0.0608  4 Ga 2.79-2.90, 2 In 3.12
In  0.2500  0.8291  0.2901  5 Ga 2.73-2.92
In  0.7500  0.3291  0.2099  5 Ga 2.73-2.92
In  0.2500  0.0565  0.5608  4 Ga 2.79-2.90, 2 In 3.12
In  0.2500  0.6709  0.7901  5 Ga 2.73-2.92
In  0.7500  0.5565  0.9392  4 Ga 2.79-2.90, 2 In 3.12
In  0.7500  0.9435  0.4392  4 Ga 2.79-2.90, 2 In 3.12
In  0.7500  0.1709  0.7099  5 Ga 2.73-2.92

Summary:
Calculated formation energy ... -0.49 eV/atom
Distance to the lowest polymorph of the same formula ... 0.0 meV per atom
Uncorrected energy ... -3.8796 eV/atom
DOS(E_F) ... 1.09 states/eV/f.u.

***

No. 7
Pr4InGa3 | GGA-PBE | relaxed

Lattice parameters (Å, degrees): 4.5827 4.2724 11.5481 90.00 90.00 90.00
Closest atoms and distances in Å follow each position.
Sites, in units of the cell vectors:
In  0.5000  0.5000  0.0723  2 Ga 2.79
Pr  0.5000  0.5000  0.3681  6 Ga 3.22-3.27, 1 In 3.42
Pr  0.0000  0.0000  0.1483  4 In 3.25, 3 Ga 3.28-3.52
Pr  0.5000  0.0000  0.6383  7 Ga 3.22-3.30
Pr  0.0000  0.5000  0.8530  5 Ga 3.22-3.26, 2 In 3.42
Ga  0.5000  0.0000  0.9172  2 In 2.79
Ga  0.0000  0.0000  0.4324  2 Ga 2.66
Ga  0.0000  0.5000  0.5703  2 Ga 2.66

Summary:
Calculated formation energy ... -0.53 eV/atom
Uncorrected energy ... -4.3992 eV/atom
DOS(E_F) ... 8.82 states/eV/f.u.

***

No. 8
Pr3InGa | GGA-PBE | relaxed

Lattice parameters (Å, degrees): 6.0143 6.0143 9.2529 103.63 103.63 105.91
Closest atoms and distances in Å follow each position.
Sites, in units of the cell vectors:
Pr  0.5945  0.7058  0.3007  2 Ga 3.18, 2 Pr 3.32-3.39, 2 In 3.35
Pr  0.8087  0.3087  0.1180  4 Ga 3.17, 2 Pr 3.32, 2 In 3.55
Pr  0.1913  0.6913  0.8820  4 Ga 3.17, 2 Pr 3.32, 2 In 3.55
Pr  0.4055  0.2942  0.6993  2 Ga 3.18, 2 Pr 3.32-3.39, 2 In 3.35
Pr  0.2058  0.0945  0.3007  2 Ga 3.18, 2 Pr 3.32-3.39, 2 In 3.35
Pr  0.7942  0.9055  0.6993  2 Ga 3.18, 2 Pr 3.32-3.39, 2 In 3.35
In  0.8046  0.3046  0.4999  1 In 2.83
In  0.1954  0.6954  0.5001  1 In 2.83
Ga  0.2498  0.2502  0.0000  8 Pr 3.17-3.18
Ga  0.7502  0.7498  0.0000  8 Pr 3.17-3.18

Summary:
Calculated formation energy ... -0.40 eV/atom
Distance to the lowest polymorph of the same formula ... 0.0 meV per atom
Uncorrected energy ... -4.4220 eV/atom
DOS(E_F) ... 5.02 states/eV/f.u.

***

No. 9
Pr2In2Ga | GGA-PBE | relaxed

Lattice parameters (Å, degrees): 4.5709 6.2989 10.6054 90.48 77.56 68.73
Closest atoms and distances in Å follow each position.
Sites, in units of the cell vectors:
In  0.1045  0.2335  0.5576  3 Ga 2.81-2.92
In  0.8955  0.7665  0.4424  3 Ga 2.81-2.92
In  0.6483  0.8112  0.8921  1 Ga 2.81, 1 In 2.99
In  0.3517  0.1888  0.1079  1 Ga 2.81, 1 In 2.99
Pr  0.0703  0.7453  0.1141  2 Ga 3.23, 6 In 3.26-3.47
Pr  0.3375  0.6523  0.6727  6 In 3.29-3.48, 3 Ga 3.38-3.39
Pr  0.9297  0.2547  0.8859  2 Ga 3.23, 6 In 3.26-3.47
Pr  0.6625  0.3477  0.3273  6 In 3.29-3.48, 3 Ga 3.38-3.39
Ga  0.6219  0.0764  0.6797  4 In 2.81-2.92
Ga  0.3781  0.9236  0.3203  4 In 2.81-2.92

Summary:
Calculated formation energy ... -0.51 eV/atom
Uncorrected energy ... -4.1262 eV/atom
DOS(E_F) ... 4.24 states/eV/f.u.

***

Question: DOS(E_F) of number 2 (PmZnInGa)?
Answer: 3.14 states/eV/f.u.

***

Question: What is the formula in the fifth record?
Answer: Pr3InGa

***

Question: The highest calculated formation energy belongs to which entry?
Answer: Pm2Y2InGa4

***

Question: Which formula does entry 6 have?
Answer: PrInGa2